Record 1
# ScZn3Ru

ScZn3Ru after structural relaxation (PBE, Alexandria).

```
5
Lattice="4.973 0.000 0.000 0.000 4.973 0.000 0.000 0.000 4.973" Properties=species:S:1:pos:R:3 pbc="T T T"
Sc 0.000 0.000 0.000
Zn 0.000 0.000 2.487
Zn 0.000 2.487 0.000
Zn 2.487 0.000 0.000
Ru 2.487 2.487 2.487
```

Calculated values
- space-group type = Pm-3m, No. 221
- E above lowest polymorph (eV per atom) = 1.212
- energy relative to the elements (eV per atom) = 1.4752

Record 2
# HoNpS3

HoNpS3 after structural relaxation (PBE, Alexandria).

```
10
Lattice="6.959 0.000 0.000 -3.480 6.027 0.000 0.000 0.000 7.013" Properties=species:S:1:pos:R:3 pbc="T T T"
Ho 0.000 0.000 0.000
Ho 0.000 0.000 3.507
Np 3.480 2.009 0.000
Np 3.480 2.009 3.507
S 2.045 0.449 1.753
S 1.412 1.547 5.260
S 4.914 0.449 5.260
S 2.846 4.031 1.753
S 5.548 1.547 1.753
S 4.113 4.031 5.260
```

Calculated values
- space-group type = P-6c2, No. 188
- E above lowest polymorph (eV per atom) = 0.125
- formation energy (no corrections) (eV per formula unit) = -8.080

Record 3
# CaCu2Os2

CaCu2Os2 after structural relaxation (PBE, Alexandria).

```
5
Lattice="-1.850 1.850 6.127 1.850 -1.850 6.127 1.850 1.850 -6.127" Properties=species:S:1:pos:R:3 pbc="T T T"
Ca 0.000 0.000 0.000
Cu 0.000 0.000 4.904
Cu 0.000 0.000 7.350
Os 1.850 0.000 3.063
Os 0.000 1.850 3.063
```

Calculated values
- space-group type = I4/mmm, No. 139
- E above lowest polymorph (eV per atom) = 0.000
- energy relative to the elements (eV per atom) = 0.3750

Record 4
# MgTl6Hg2

MgTl6Hg2 after structural relaxation (PBE, Alexandria).

```
9
Lattice="3.439 0.000 0.000 -1.719 2.978 0.000 0.000 0.000 25.585" Properties=species:S:1:pos:R:3 pbc="T T T"
Mg 0.000 0.000 0.000
Tl 0.000 0.000 5.410
Tl 0.000 0.000 11.125
Tl 0.000 0.000 14.460
Tl 0.000 0.000 20.175
Tl 0.000 1.985 2.522
Tl 0.000 1.985 23.063
Hg 0.000 1.985 8.263
Hg 0.000 1.985 17.322
```

Calculated values
- space-group type = P-6m2, No. 187
- energy relative to the elements (eV per atom) = 0.0156

Record 5
# CsSc3Rh

CsSc3Rh after structural relaxation (PBE, Alexandria).

```
5
Lattice="5.103 0.000 0.000 0.000 5.103 0.000 0.000 0.000 5.103" Properties=species:S:1:pos:R:3 pbc="T T T"
Cs 0.000 0.000 0.000
Sc 0.000 0.000 2.551
Sc 0.000 2.551 0.000
Sc 2.551 0.000 0.000
Rh 2.551 2.551 2.551
```

Calculated values
- space-group type = Pm-3m, No. 221
- E above lowest polymorph (eV per atom) = 1.598
- energy relative to the elements (eV per atom) = 1.6535

Record 6
# CaGaPbO4

CaGaPbO4 after structural relaxation (PBE, Alexandria).

```
14
Lattice="-3.286 3.308 4.626 3.286 -3.308 4.626 3.286 3.308 -4.626" Properties=species:S:1:pos:R:3 pbc="T T T"
Ca -1.643 1.654 2.313
Ca 1.643 1.654 2.313
Ga 3.286 1.654 -1.236
Ga 0.000 1.654 5.861
Pb 0.000 0.000 0.000
Pb 0.000 3.308 0.000
O 3.286 -0.046 2.259
O 1.735 1.654 -0.068
O 4.838 1.654 -0.068
O 3.286 3.262 -2.259
O 0.000 0.046 6.885
O -1.552 1.654 4.694
O 1.552 1.654 4.694
O 0.000 3.355 2.366
```

Calculated values
- space-group type = Imma, No. 74
- formation energy (no corrections) (eV per formula unit) = -12.210

Record 7
# Ac7DyEr2

Ac7DyEr2 after structural relaxation (PBE, Alexandria).

```
10
Lattice="5.063 -8.197 0.000 5.063 8.197 0.000 0.000 0.000 6.094" Properties=species:S:1:pos:R:3 pbc="T T T"
Ac 0.000 0.000 0.000
Ac 3.189 2.020 0.000
Ac 5.063 3.939 3.047
Ac 3.189 -2.020 0.000
Ac 6.938 2.020 0.000
Ac 5.063 -3.939 3.047
Ac 6.938 -2.020 0.000
Dy 5.063 0.000 3.047
Er 5.063 4.883 0.000
Er 5.063 -4.883 0.000
```

Calculated values
- space-group type = Cmmm, No. 65
- energy relative to the elements (eV per atom) = 0.6354

Record 8
# MgTc2Hg2

MgTc2Hg2 after structural relaxation (PBE, Alexandria).

```
10
Lattice="8.067 0.000 0.000 0.000 8.067 0.000 0.000 0.000 3.066" Properties=species:S:1:pos:R:3 pbc="T T T"
Mg 0.000 0.000 0.000
Mg 4.034 4.034 0.000
Tc 0.793 3.241 1.533
Tc 3.241 7.274 1.533
Tc 4.826 0.793 1.533
Tc 7.274 4.826 1.533
Hg 1.549 5.583 0.000
Hg 2.484 1.549 0.000
Hg 5.583 6.518 0.000
Hg 6.518 2.484 0.000
```

Calculated values
- space-group type = P4/mbm, No. 127
- E above lowest polymorph (eV per atom) = 0.107
- energy relative to the elements (eV per atom) = 0.5517

Record 9
# FeTe2BrN

FeTe2BrN after structural relaxation (PBE, Alexandria).

```
5
Lattice="5.474 0.000 0.000 0.000 5.474 0.000 0.000 0.000 3.406" Properties=species:S:1:pos:R:3 pbc="T T T"
Fe 0.000 0.000 0.000
Te 0.000 2.737 0.000
Te 2.737 0.000 0.000
Br 2.737 2.737 1.703
N 0.000 0.000 1.703
```

Calculated values
- space-group type = P4/mmm, No. 123
- E above lowest polymorph (eV per atom) = 0.000
- formation energy (no corrections) (eV per formula unit) = 1.593

Record 10
# AlCuAs2

AlCuAs2 after structural relaxation (PBE, Alexandria).

```
4
Lattice="-1.855 2.488 3.715 1.855 -2.488 3.715 1.855 2.488 -3.715" Properties=species:S:1:pos:R:3 pbc="T T T"
Al 0.000 0.000 0.000
Cu 0.000 0.000 3.715
As 1.855 0.000 1.924
As 0.000 2.488 1.791
```

Calculated values
- space-group type = Immm, No. 71
- energy relative to the elements (eV per atom) = 0.2021

Record 11
# RbTl3Re2O8

RbTl3Re2O8 after structural relaxation (PBE, Alexandria).

```
14
Lattice="6.577 0.000 0.000 -3.289 5.696 0.000 0.000 0.000 8.132" Properties=species:S:1:pos:R:3 pbc="T T T"
Rb 0.000 0.000 0.000
Tl 0.000 0.000 4.066
Tl 0.000 3.797 1.283
Tl 3.289 1.899 6.849
Re 0.000 3.797 5.526
Re 3.289 1.899 2.606
O 0.000 2.125 6.163
O -1.448 4.634 6.163
O 0.000 3.797 3.732
O 1.840 1.062 1.969
O 1.448 4.634 6.163
O 3.289 1.899 4.401
O 4.737 1.062 1.969
O 3.289 3.571 1.969
```

Calculated values
- space-group type = P-3m1, No. 164
- formation energy (no corrections) (eV per formula unit) = -18.534

Ordered DOS(E_F) results: 5.89; 8.34; 4.96; 4.24; 6.20; 2.21; 13.85; 3.77; 2.84; 1.98; 8.24; unit states/eV/f.u..
Ordered total magnetization results: 2.32; 7.86; 0.00; 0.00; 0.00; 0.00; 0.00; 0.00; 0.00; 0.00; 0.01; unit μB/cell.